1.
The following is a GGA-PBE calculation of an optimized crystal structure of Pm2Nd2Ir3, from Alexandria.

Properties
uncorrected energy: -7.0331 eV/atom
DOS at the Fermi energy: 0.576 states/eV/atom
ΔE to the lowest computed polymorph: 0.65 eV per formula unit
space group: C2/m (12)
formation enthalpy at 0 K: -0.516 eV/atom
mass density: 9500 kg/m³

Unit cell a=4.2179 b=7.0003 c=7.3156 alpha=100.86 beta=90.02 gamma=107.53
Element x y z (fractional)
Pm1 0.6278 0.2557 0.9043
Pm2 0.3722 0.7443 0.0957
Nd1 0.8580 0.7162 0.6480
Nd2 0.1420 0.2838 0.3520
Ir1 0.0000 0.0000 0.0000
Ir2 0.7702 0.5399 0.2587
Ir3 0.2298 0.4601 0.7413

***

2.
The following is a GGA-PBE calculation of an optimized crystal structure of PmNd4Ir2, from Alexandria.

Properties
uncorrected energy: -6.2614 eV/atom
DOS at the Fermi energy: 1.234 states/eV/atom
ΔE to the lowest computed polymorph: 0.39 eV per formula unit
space group: R-3m (166)
formation enthalpy at 0 K: -0.327 eV/atom
mass density: 8664 kg/m³

Unit cell a=4.8734 b=4.8734 c=10.6863 alpha=76.82 beta=76.82 gamma=60.00
Element x y z (fractional)
Pm1 0.5000 0.5000 0.5000
Nd1 0.7007 0.7007 0.8980
Nd2 0.8996 0.8996 0.3013
Nd3 0.2993 0.2993 0.1020
Nd4 0.1004 0.1004 0.6987
Ir1 0.5993 0.5993 0.2022
Ir2 0.4007 0.4007 0.7978

***

3.
The following is a GGA-PBE calculation of an optimized crystal structure of PmNdIr2, from Alexandria.

Properties
uncorrected energy: -7.3810 eV/atom
DOS at the Fermi energy: 0.715 states/eV/atom
ΔE to the lowest computed polymorph: 0.25 eV per formula unit
space group: Fm-3m (225)
formation enthalpy at 0 K: -0.571 eV/atom
mass density: 12651 kg/m³

Unit cell a=5.0007 b=5.0007 c=5.0007 alpha=60.00 beta=60.00 gamma=60.00
Element x y z (fractional)
Ir1 0.2500 0.2500 0.2500
Ir2 0.7500 0.7500 0.7500
Nd1 0.5000 0.5000 0.5000
Pm1 0.0000 0.0000 0.0000

***

4.
The following is a GGA-PBE calculation of an optimized crystal structure of Pm3NdIr2, from Alexandria.

Properties
uncorrected energy: -6.5929 eV/atom
DOS at the Fermi energy: 0.846 states/eV/atom
ΔE to the lowest computed polymorph: 0.72 eV per formula unit
space group: C2/m (12)
formation enthalpy at 0 K: -0.469 eV/atom
mass density: 9780 kg/m³

Unit cell a=4.8288 b=11.1699 c=8.8040 alpha=133.76 beta=90.00 gamma=102.48
Element x y z (fractional)
Pm1 0.3259 0.6518 0.6825
Pm2 0.9526 0.9053 0.7455
Pm3 0.6026 0.2052 0.6159
Pm4 0.3974 0.7948 0.3841
Pm5 0.0474 0.0947 0.2545
Pm6 0.6741 0.3482 0.3175
Nd1 0.8251 0.6503 0.9896
Nd2 0.1749 0.3497 0.0104
Ir1 0.5486 0.0971 0.8484
Ir2 0.4514 0.9029 0.1516
Ir3 0.7967 0.5935 0.2863
Ir4 0.2033 0.4065 0.7137

***

5.
The following is a GGA-PBE calculation of an optimized crystal structure of Pm2NdIr, from Alexandria.

Properties
uncorrected energy: -5.8856 eV/atom
DOS at the Fermi energy: 1.428 states/eV/atom
ΔE to the lowest computed polymorph: 1.45 eV per formula unit
space group: R-3m (166)
formation enthalpy at 0 K: -0.103 eV/atom
mass density: 7452 kg/m³

Unit cell a=3.8808 b=3.8808 c=10.9353 alpha=79.78 beta=79.78 gamma=60.00
Site moments in Bohr magnetons follow the coordinates.
Element x y z (fractional)
Ir1 0.5000 0.5000 0.5000  0.01
Nd1 0.0000 0.0000 0.0000  0.19
Pm1 0.1144 0.1144 0.6569  0.04
Pm2 0.8856 0.8856 0.3431  0.04

***

6.
The following is a GGA-PBE calculation of an optimized crystal structure of Pm2NdIr, from Alexandria.

Properties
uncorrected energy: -6.0724 eV/atom
DOS at the Fermi energy: 1.266 states/eV/atom
ΔE to the lowest computed polymorph: 0.70 eV per formula unit
space group: P4/mmm (123)
formation enthalpy at 0 K: -0.290 eV/atom
mass density: 8916 kg/m³

Unit cell a=3.5933 b=3.5933 c=9.0363 alpha=90.00 beta=90.00 gamma=90.00
Element x y z (fractional)
Ir1 0.5000 0.5000 0.0000
Nd1 0.5000 0.5000 0.5000
Pm1 0.0000 0.0000 0.8169
Pm2 0.0000 0.0000 0.1831

***

7.
The following is a GGA-PBE calculation of an optimized crystal structure of Pm5NdIr3, from Alexandria.

Properties
uncorrected energy: -6.6369 eV/atom
DOS at the Fermi energy: 0.660 states/eV/atom
space group: C2/m (12)
formation enthalpy at 0 K: -0.514 eV/atom
mass density: 8351 kg/m³

Unit cell a=7.9426 b=7.9426 c=10.3956 alpha=71.28 beta=71.28 gamma=73.00
Element x y z (fractional)
Pm1 0.9686 0.3637 0.3324
Pm2 0.3029 0.6971 0.0000
Pm3 0.7675 0.7675 0.0347
Pm4 0.4329 0.4329 0.3692
Pm5 0.5671 0.5671 0.6308
Pm6 0.2325 0.2325 0.9653
Pm7 0.3637 0.9686 0.3324
Pm8 0.6971 0.3029 0.0000
Pm9 0.0314 0.6363 0.6676
Pm10 0.6363 0.0314 0.6676
Nd1 0.1018 0.1018 0.7012
Nd2 0.8982 0.8982 0.2988
Ir1 0.6669 0.6669 0.8333
Ir2 0.6652 0.6652 0.3325
Ir3 0.0000 0.0000 0.0000
Ir4 0.0000 0.0000 0.5000
Ir5 0.3331 0.3331 0.1667
Ir6 0.3348 0.3348 0.6675

***

8.
The following is a GGA-PBE calculation of an optimized crystal structure of Pm4Nd3Ir4, from Alexandria.

Properties
uncorrected energy: -6.7480 eV/atom
DOS at the Fermi energy: 0.748 states/eV/atom
space group: Immm (71)
formation enthalpy at 0 K: -0.498 eV/atom
mass density: 10288 kg/m³

Unit cell a=4.4793 b=8.1568 c=9.1425 alpha=116.49 beta=104.18 gamma=90.00
Element x y z (fractional)
Pm1 0.3320 0.1241 0.6640
Pm2 0.6680 0.4601 0.3360
Pm3 0.6680 0.8759 0.3360
Pm4 0.3320 0.5399 0.6640
Nd1 0.1007 0.1007 0.2014
Nd2 0.8993 0.8993 0.7986
Nd3 0.0000 0.5000 0.0000
Ir1 0.2119 0.7119 0.4238
Ir2 0.7881 0.2881 0.5762
Ir3 0.5000 0.8211 0.0000
Ir4 0.5000 0.1789 0.0000

***

9.
The following is a GGA-PBE calculation of an optimized crystal structure of PmNd3Ir, from Alexandria.

Properties
uncorrected energy: -5.8408 eV/atom
DOS at the Fermi energy: 1.210 states/eV/atom
ΔE to the lowest computed polymorph: 0.00 eV per formula unit
space group: Amm2 (38)
formation enthalpy at 0 K: -0.258 eV/atom
mass density: 7787 kg/m³

Unit cell a=5.6554 b=7.6599 c=7.6599 alpha=98.27 beta=90.01 gamma=89.99
Element x y z (fractional)
Pm1 0.0432 0.6867 0.4062
Pm2 0.0432 0.1358 0.8552
Nd1 0.5432 0.9556 0.5864
Nd2 0.5432 0.4617 0.0804
Nd3 0.0430 0.1518 0.3901
Nd4 0.0431 0.6477 0.8944
Nd5 0.5431 0.4204 0.5667
Nd6 0.5431 0.9754 0.1215
Ir1 0.5430 0.7116 0.8304
Ir2 0.0433 0.3965 0.1455

***

10.
The following is a GGA-PBE calculation of an optimized crystal structure of Pm2NdIr2, from Alexandria.

Properties
uncorrected energy: -7.0157 eV/atom
DOS at the Fermi energy: 0.547 states/eV/atom
ΔE to the lowest computed polymorph: 0.00 eV per formula unit
space group: P2_1/m (11)
formation enthalpy at 0 K: -0.617 eV/atom
mass density: 10015 kg/m³

Unit cell a=4.4576 b=5.7521 c=10.7104 alpha=81.34 beta=90.00 gamma=90.00
Element x y z (fractional)
Pm1 0.2500 0.8870 0.8863
Pm2 0.7500 0.1130 0.1137
Pm3 0.2500 0.2311 0.5335
Pm4 0.7500 0.7689 0.4665
Nd1 0.2500 0.5471 0.2103
Nd2 0.7500 0.4529 0.7897
Ir1 0.2500 0.6954 0.6369
Ir2 0.7500 0.3046 0.3631
Ir3 0.2500 0.3437 0.9678
Ir4 0.7500 0.6563 0.0322

***

11.
The following is a GGA-PBE calculation of an optimized crystal structure of PmNd2Ir, from Alexandria.

Properties
uncorrected energy: -6.0379 eV/atom
DOS at the Fermi energy: 1.302 states/eV/atom
ΔE to the lowest computed polymorph: 0.81 eV per formula unit
space group: P4/mmm (123)
formation enthalpy at 0 K: -0.251 eV/atom
mass density: 8831 kg/m³

Unit cell a=3.6191 b=3.6191 c=8.9822 alpha=90.00 beta=90.00 gamma=90.00
Element x y z (fractional)
Ir1 0.5000 0.5000 0.0000
Nd1 0.0000 0.0000 0.8145
Nd2 0.0000 0.0000 0.1855
Pm1 0.5000 0.5000 0.5000

***

12.
The following is a GGA-PBE calculation of an optimized crystal structure of PmNdIr2, from Alexandria.

Properties
uncorrected energy: -7.4445 eV/atom
DOS at the Fermi energy: 0.577 states/eV/atom
ΔE to the lowest computed polymorph: 0.00 eV per formula unit
space group: Amm2 (38)
formation enthalpy at 0 K: -0.634 eV/atom
mass density: 11936 kg/m³

Unit cell a=4.0849 b=4.2237 c=5.8032 alpha=90.00 beta=110.60 gamma=90.00
Element x y z (fractional)
Pm1 0.4374 0.5000 0.4138
Nd1 0.7290 0.0000 0.9970
Ir1 0.1583 0.5000 0.8555
Ir2 0.0063 0.0000 0.5517